(1)
Here is a relaxed structure of Rb2In3AgBi4 from Alexandria via LeMat-Bulk. Energies are from PBE.

Computed properties:
DOS(E_F) = 0.43 states/eV/atom
Energy relative to the elements = -0.139 eV per atom
Volume = 355.1 Å³ per cell

Cell and atoms, written as CIF:
```
data_Rb2In3AgBi4
_cell_length_a 5.5414
_cell_length_b 5.5414
_cell_length_c 11.5637
_cell_angle_alpha 90.00
_cell_angle_beta 90.00
_cell_angle_gamma 90.00
_space_group_name_H-M_alt 'P -4 m 2'
_space_group_IT_number 115
_space_group_name_Hall 'P -4 -2'
loop_
_atom_site_label
_atom_site_fract_x
_atom_site_fract_y
_atom_site_fract_z
Rb1 0.0000 0.5000 0.2429
In1 0.0000 0.0000 0.0000
In2 0.0000 0.5000 0.6235
Ag1 0.5000 0.5000 0.0000
Bi1 0.0000 0.0000 0.5000
Bi2 0.0000 0.5000 0.8820
Bi3 0.5000 0.5000 0.5000
```

***

(2)
Here is a relaxed structure of InAg4Bi3S8 from Alexandria via LeMat-Bulk. Energies are from PBE.

Computed properties:
DOS(E_F) = 0.02 states/eV/atom
Formation energy without anion corrections = -0.2488 eV/atom
Volume = 709.1 Å³ per cell

Cell and atoms, written as CIF:
```
data_InAg4Bi3S8
_cell_length_a 13.4456
_cell_length_b 8.0156
_cell_length_c 8.0312
_cell_angle_alpha 90.00
_cell_angle_beta 124.99
_cell_angle_gamma 90.00
_space_group_name_H-M_alt 'C 1 2/m 1'
_space_group_IT_number 12
_space_group_name_Hall '-C 2y'
loop_
_atom_site_label
_atom_site_fract_x
_atom_site_fract_y
_atom_site_fract_z
In1 0.0000 0.0000 0.0000
Ag1 0.0000 0.0000 0.5000
Ag2 0.0000 0.5000 0.5000
Ag3 0.2500 0.2500 0.0000
Bi1 0.0000 0.5000 0.0000
Bi2 0.2500 0.2500 0.5000
S1 0.0071 0.2322 0.7717
S2 0.2381 0.5000 0.7401
S3 0.2436 0.0000 0.7443
```

***

(3)
Here is a relaxed structure of InAg2BiS4 from Alexandria via LeMat-Bulk. Energies are from PBE.

Computed properties:
Formation energy without anion corrections = -0.2865 eV/atom
Volume = 429.5 Å³ per cell

Cell and atoms, written as CIF:
```
data_InAg2BiS4
_cell_length_a 8.6756
_cell_length_b 7.2354
_cell_length_c 6.8416
_cell_angle_alpha 90.00
_cell_angle_beta 90.00
_cell_angle_gamma 90.00
_space_group_name_H-M_alt 'P m n 21'
_space_group_IT_number 31
_space_group_name_Hall 'P 2ac -2'
loop_
_atom_site_label
_atom_site_fract_x
_atom_site_fract_y
_atom_site_fract_z
In1 0.0000 0.1780 0.0000
Ag1 0.2477 0.6844 0.0067
Bi1 0.0000 0.8274 0.4940
S1 0.0000 0.1786 0.3688
S2 0.0000 0.8483 0.8891
S3 0.2311 0.3455 0.8777
```

***

(4)
Here is a relaxed structure of InAgBi2S5 from Alexandria via LeMat-Bulk. Energies are from PBE.

Computed properties:
Formation energy without anion corrections = -0.3308 eV/atom
Volume = 898.8 Å³ per cell

Cell and atoms, written as CIF:
```
data_InAgBi2S5
_cell_length_a 3.9612
_cell_length_b 17.5630
_cell_length_c 12.9198
_cell_angle_alpha 90.00
_cell_angle_beta 90.00
_cell_angle_gamma 90.00
_space_group_name_H-M_alt 'C m c 21'
_space_group_IT_number 36
_space_group_name_Hall 'C 2c -2'
loop_
_atom_site_label
_atom_site_fract_x
_atom_site_fract_y
_atom_site_fract_z
In1 0.0000 0.2088 0.0000
Ag1 0.0000 0.4880 0.9805
Bi1 0.0000 0.0973 0.2458
Bi2 0.0000 0.1521 0.7108
S1 0.0000 0.0659 0.0477
S2 0.0000 0.2761 0.3698
S3 0.0000 0.2943 0.6546
S4 0.0000 0.3565 0.0657
S5 0.0000 0.4969 0.2860
```